# KBa2ThSe4

A geometry-optimized KBa2ThSe4 structure (GGA-PBE, Alexandria via LeMat-Bulk).

a b c (Å): 4.5117 7.8433 7.9509
angles (deg): 70.90 90.00 90.00
Sites, in units of the cell vectors:
Th 0.0000 0.5000 0.5000
Se 0.0000 0.2716 0.2724
Ba 0.0000 0.0000 0.0000
Ba 0.5000 0.0000 0.5000
Se 0.0000 0.7284 0.7276
K 0.5000 0.5000 0.0000
Se 0.5000 0.2759 0.7254
Se 0.5000 0.7241 0.2746

Calculated values
Space group: P2/m
Formation energy without anion corrections (eV per atom): -1.74